Record 1
# Al2ZnBiPt (GGA-PBE, optimized geometry)
data_Al2ZnBiPt
_symmetry_space_group_name_H-M 'P 4/m m m'
_symmetry_Int_Tables_number 123
_symmetry_space_group_name_Hall '-P 4 2'
_cell_length_a 4.807
_cell_length_b 4.807
_cell_length_c 4.928
_cell_angle_alpha 90.00
_cell_angle_beta 90.00
_cell_angle_gamma 90.00
loop_
_atom_site_label
_atom_site_type_symbol
_atom_site_fract_x
_atom_site_fract_y
_atom_site_fract_z
Al1 Al 0.000 0.500 0.000
Zn1 Zn 0.000 0.000 0.500
Bi1 Bi 0.500 0.500 0.500
Pt1 Pt 0.000 0.000 0.000
# Theoretical density, g cm⁻³: 7.632
# E_tot, eV per atom: -3.852
# Energy of formation from the pure elements, eV per atom: -0.116
# Magnetization, μB/cell: 0.000

---

Record 2
# RbTe2Cl4 (GGA-PBE, optimized geometry)
data_RbTe2Cl4
_symmetry_space_group_name_H-M 'F 2 2 2'
_symmetry_Int_Tables_number 22
_symmetry_space_group_name_Hall 'F 2 2'
_cell_length_a 10.200
_cell_length_b 14.551
_cell_length_c 15.458
_cell_angle_alpha 90.00
_cell_angle_beta 90.00
_cell_angle_gamma 90.00
loop_
_atom_site_label
_atom_site_type_symbol
_atom_site_fract_x
_atom_site_fract_y
_atom_site_fract_z
Rb1 Rb 0.000 0.000 0.000
Rb2 Rb 0.250 0.250 0.250
Te1 Te 0.125 0.064 0.709
Cl1 Cl 0.044 0.160 0.837
Cl2 Cl 0.198 0.065 0.393
# Excess energy over the best structure of this formula in the dataset, meV/atom: 0
# Formation energy from raw total energies, eV per formula unit: -5.8
# Theoretical density, g cm⁻³: 2.794
# E_tot, eV per atom: -2.914
# Magnetization, μB/cell: 8.214

---

Record 3
# LiZr2Sc (GGA-PBE, optimized geometry)
data_LiZr2Sc
_symmetry_space_group_name_H-M 'C 1 2/m 1'
_symmetry_Int_Tables_number 12
_cell_length_a 5.976
_cell_length_b 10.946
_cell_length_c 3.016
_cell_angle_alpha 90.00
_cell_angle_beta 115.86
_cell_angle_gamma 90.00
loop_
_symmetry_equiv_pos_as_xyz
'x,y,z'
'-x,-y,-z'
'-x,y,-z'
'x,-y,z'
'x+1/2,y+1/2,z'
'-x+1/2,-y+1/2,-z'
'-x+1/2,y+1/2,-z'
'x+1/2,-y+1/2,z'
loop_
_atom_site_label
_atom_site_type_symbol
_atom_site_fract_x
_atom_site_fract_y
_atom_site_fract_z
Li1 Li 0.000 0.000 0.000
Zr1 Zr 0.250 0.250 0.500
Sc1 Sc 0.000 0.500 0.000
# Theoretical density, g cm⁻³: 4.384
# E_tot, eV per atom: -6.122
# Energy of formation from the pure elements, eV per atom: 0.213
# Magnetization, μB/cell: 0.001

---

Record 4
# La3TbDy3 (GGA-PBE, optimized geometry)
data_La3TbDy3
_symmetry_space_group_name_H-M 'R -3'
_symmetry_Int_Tables_number 148
_symmetry_space_group_name_Hall '-R 3'
_cell_length_a 9.4767
_cell_length_b 9.4767
_cell_length_c 18.8010
_cell_angle_alpha 90.00
_cell_angle_beta 90.00
_cell_angle_gamma 120.00
loop_
_atom_site_label
_atom_site_type_symbol
_atom_site_fract_x
_atom_site_fract_y
_atom_site_fract_z
La1 La 0.0514 0.8079 0.0776
Tb1 Tb 0.0000 0.0000 0.4087
Dy1 Dy 0.0507 0.8154 0.2605
# Theoretical density, g cm⁻³: 7.244
# E_tot, eV per atom: -4.614
# Energy of formation from the pure elements, eV per atom: 0.131
# Magnetization, μB/cell: 0.000